No. 1
## Ta2Si2Te (meta-GGA SCAN)

Data for a PBEsol-optimized structure of Ta2Si2Te.

Uncorrected formation energy = 0.00 eV per atom
E = -38.091 eV/atom

a b c (Å): 3.2738 7.3102 7.3102
angles (deg): 90.00 90.00 90.00
Element x y z (fractional)
Si (0.5000, 0.1275, 0.6275)
Si (0.5000, 0.3725, 0.1275)
Te (0.0000, 0.5000, 0.5000)
Ta (0.0000, 0.8422, 0.6578)
Si (0.5000, 0.8725, 0.3725)
Si (0.5000, 0.6275, 0.8725)
Ta (0.0000, 0.6578, 0.1578)
Ta (0.0000, 0.3422, 0.8422)
Ta (0.0000, 0.1578, 0.3422)
Te (0.0000, 0.0000, 0.0000)



No. 2
## Ta2TiSi2 (meta-GGA SCAN)

Data for a PBEsol-optimized structure of Ta2TiSi2.

Uncorrected formation energy = -0.67 eV per atom
E = -34.511 eV/atom

a b c (Å): 3.4754 6.6010 6.6010
angles (deg): 90.00 90.00 90.00
Element x y z (fractional)
Ti (0.0000, 0.5000, 0.5000)
Ta (0.5000, 0.6718, 0.8282)
Si (0.0000, 0.6281, 0.1281)
Si (0.0000, 0.1281, 0.3719)
Si (0.0000, 0.3719, 0.8719)
Ti (0.0000, 0.0000, 0.0000)
Si (0.0000, 0.8719, 0.6281)
Ta (0.5000, 0.8282, 0.3282)
Ta (0.5000, 0.3282, 0.1718)
Ta (0.5000, 0.1718, 0.6718)



No. 3
## TaTlSi2 (meta-GGA SCAN)

Data for a PBEsol-optimized structure of TaTlSi2.

Uncorrected formation energy = 0.41 eV per atom
E = -39.330 eV/atom
ΔE to the lowest computed polymorph = 0 meV per atom

a b c (Å): 3.4657 3.4657 5.7926
angles (deg): 90.00 90.00 90.00
Element x y z (fractional)
Ta (0.0000, 0.0000, 0.4471)
Si (0.0000, 0.0000, 0.0208)
Tl (0.5000, 0.5000, 0.7650)
Si (0.5000, 0.5000, 0.2671)



No. 4
## Ta2TlSi (meta-GGA SCAN)

Data for a PBEsol-optimized structure of Ta2TlSi.

Uncorrected formation energy = 0.36 eV per atom
E = -53.529 eV/atom

a b c (Å): 3.3957 4.5338 5.3680
angles (deg): 114.98 108.44 90.00
Element x y z (fractional)
Ta (0.9841, 0.9841, 0.9682)
Si (0.2666, 0.7666, 0.5332)
Ta (0.7388, 0.2388, 0.4776)
Tl (0.5105, 0.5105, 0.0210)



No. 5
## TaTlSi2 (meta-GGA SCAN)

Data for a PBEsol-optimized structure of TaTlSi2.

Uncorrected formation energy = 0.55 eV per atom
E = -39.197 eV/atom
ΔE to the lowest computed polymorph = 133 meV per atom

a b c (Å): 3.3283 4.6776 5.2385
angles (deg): 116.52 108.52 90.00
Element x y z (fractional)
Ta (0.4834, 0.4834, 0.9667)
Si (0.7275, 0.2275, 0.4551)
Si (0.0258, 0.0258, 0.0515)
Tl (0.2633, 0.7633, 0.5267)



No. 6
## TaTlSi2 (meta-GGA SCAN)

Data for a PBEsol-optimized structure of TaTlSi2.

Uncorrected formation energy = 0.53 eV per atom
E = -39.215 eV/atom
ΔE to the lowest computed polymorph = 116 meV per atom

a b c (Å): 3.5723 4.6252 5.0794
angles (deg): 117.08 110.59 90.00
Element x y z (fractional)
Si (0.2428, 0.2428, 0.4857)
Si (0.7572, 0.7572, 0.5143)
Ta (0.5000, 0.0000, 0.0000)
Tl (0.0000, 0.5000, 0.0000)



No. 7
## TaTlSi3 (meta-GGA SCAN)

Data for a PBEsol-optimized structure of TaTlSi3.

Uncorrected formation energy = 0.56 eV per atom
E = -33.236 eV/atom

a b c (Å): 4.8951 4.8951 4.8951
angles (deg): 90.00 90.00 90.00
Element x y z (fractional)
Ta (0.0000, 0.0000, 0.0000)
Si (0.0000, 0.5000, 0.0000)
Si (0.0000, 0.0000, 0.5000)
Si (0.5000, 0.0000, 0.0000)
Tl (0.5000, 0.5000, 0.5000)



No. 8
## Ta2TlSi (meta-GGA SCAN)

Data for a PBEsol-optimized structure of Ta2TlSi.

Uncorrected formation energy = 0.46 eV per atom
E = -53.425 eV/atom

a b c (Å): 4.3084 4.3084 4.8404
angles (deg): 116.43 116.43 90.00
Element x y z (fractional)
Tl (0.5000, 0.5000, 0.0000)
Ta (0.7500, 0.2500, 0.5000)
Si (0.0000, 0.0000, 0.0000)
Ta (0.2500, 0.7500, 0.5000)



No. 9
## Ta2TlSi (meta-GGA SCAN)

Data for a PBEsol-optimized structure of Ta2TlSi.

Uncorrected formation energy = 0.76 eV per atom
E = -53.126 eV/atom

a b c (Å): 4.6716 4.6716 4.6716
angles (deg): 60.00 60.00 60.00
Element x y z (fractional)
Si (0.5000, 0.5000, 0.5000)
Ta (0.7500, 0.7500, 0.7500)
Ta (0.0000, 0.0000, 0.0000)
Tl (0.2500, 0.2500, 0.2500)



No. 10
## Ta2TlSi (meta-GGA SCAN)

Data for a PBEsol-optimized structure of Ta2TlSi.

Uncorrected formation energy = 0.36 eV per atom
E = -53.524 eV/atom

a b c (Å): 2.9158 2.9158 9.1276
angles (deg): 90.00 90.00 105.37
Element x y z (fractional)
Ta (0.0000, 0.0000, 0.0109)
Si (0.5000, 0.5000, 0.2174)
Ta (0.5000, 0.5000, 0.7727)
Tl (0.0000, 0.0000, 0.4991)



No. 11
## Ta2TlSi (meta-GGA SCAN)

Data for a PBEsol-optimized structure of Ta2TlSi.

Uncorrected formation energy = 0.45 eV per atom
E = -53.437 eV/atom

a b c (Å): 4.1008 4.1341 4.1341
angles (deg): 90.00 90.00 90.00
Element x y z (fractional)
Ta (0.0000, 0.0000, 0.5000)
Tl (0.5000, 0.5000, 0.5000)
Si (0.5000, 0.0000, 0.0000)
Ta (0.0000, 0.5000, 0.0000)



No. 12
## TaTlSi2 (meta-GGA SCAN)

Data for a PBEsol-optimized structure of TaTlSi2.

Uncorrected formation energy = 1.01 eV per atom
E = -38.729 eV/atom
ΔE to the lowest computed polymorph = 601 meV per atom

a b c (Å): 4.6638 4.6638 4.6638
angles (deg): 60.00 60.00 60.00
Element x y z (fractional)
Si (0.7500, 0.7500, 0.7500)
Si (0.0000, 0.0000, 0.0000)
Tl (0.2500, 0.2500, 0.2500)
Ta (0.5000, 0.5000, 0.5000)